[1]
Computed, not measured: an optimized crystal structure of PrMgHPb at the GGA-PBE level of DFT.

Summary:
Size of the total moment in Bohr magnetons per cell: 0.00
E in eV per atom: -3.821

Cell: 4.479 4.479 8.549 Å, 90.00 90.00 90.00°
Element x y z (fractional)
Pr 0.000 0.500 0.873
Pr 0.500 0.000 0.127
Mg 0.000 0.000 0.500
Mg 0.500 0.500 0.500
H 0.500 0.500 0.000
H 0.000 0.000 0.000
Pb 0.500 0.000 0.727
Pb 0.000 0.500 0.273


[2]
Computed, not measured: an optimized crystal structure of MgH6Rh2Pb at the GGA-PBE level of DFT.

Summary:
Size of the total moment in Bohr magnetons per cell: 0.00
E in eV per atom: -4.040

Cell: 6.077 6.077 5.728 Å, 100.64 100.64 98.65°
Element x y z (fractional)
Mg 0.616 0.384 0.250
Mg 0.384 0.616 0.750
H 0.930 0.433 0.146
H 0.567 0.070 0.354
H 0.070 0.567 0.854
H 0.433 0.930 0.646
H 0.225 0.238 0.102
H 0.762 0.775 0.398
H 0.775 0.762 0.898
H 0.238 0.225 0.602
H 0.325 0.516 0.386
H 0.484 0.675 0.114
H 0.675 0.484 0.614
H 0.516 0.325 0.886
Rh 0.327 0.090 0.839
Rh 0.910 0.673 0.661
Rh 0.673 0.910 0.161
Rh 0.090 0.327 0.339
Pb 0.152 0.848 0.250
Pb 0.848 0.152 0.750


[3]
Computed, not measured: an optimized crystal structure of MgH8Rh2Pb at the GGA-PBE level of DFT.

Summary:
Size of the total moment in Bohr magnetons per cell: 0.00
E in eV per atom: -3.923

Cell: 4.899 4.899 6.483 Å, 67.80 67.80 60.00°
Element x y z (fractional)
Mg 0.000 0.000 0.000
H 0.208 0.208 0.375
H 0.590 0.367 0.139
H 0.792 0.792 0.625
H 0.904 0.590 0.139
H 0.096 0.410 0.861
H 0.367 0.904 0.139
H 0.633 0.096 0.861
H 0.410 0.633 0.861
Rh 0.305 0.305 0.085
Rh 0.695 0.695 0.915
Pb 0.500 0.500 0.500


E of number 3 (MgH8Rh2Pb)?
-3.923 eV per atom


Which value of size of the total moment does entry 3 give?
0.00 Bohr magnetons per cell


What did the second record say?
Computed, not measured: an optimized crystal structure of MgH6Rh2Pb at the GGA-PBE level of DFT.

Summary:
Size of the total moment in Bohr magnetons per cell: 0.00
E in eV per atom: -4.040

Cell: 6.077 6.077 5.728 Å, 100.64 100.64 98.65°
Element x y z (fractional)
Mg 0.616 0.384 0.250
Mg 0.384 0.616 0.750
H 0.930 0.433 0.146
H 0.567 0.070 0.354
H 0.070 0.567 0.854
H 0.433 0.930 0.646
H 0.225 0.238 0.102
H 0.762 0.775 0.398
H 0.775 0.762 0.898
H 0.238 0.225 0.602
H 0.325 0.516 0.386
H 0.484 0.675 0.114
H 0.675 0.484 0.614
H 0.516 0.325 0.886
Rh 0.327 0.090 0.839
Rh 0.910 0.673 0.661
Rh 0.673 0.910 0.161
Rh 0.090 0.327 0.339
Pb 0.152 0.848 0.250
Pb 0.848 0.152 0.750